VASP calculation (PBE) on LiSi2Ir2 after structural relaxation.

## Properties
Calculated total energy: -0.49510 Ry/atom
Total moment: 0.00 μB per formula unit
DOS(E_F): 5.77 states/eV per cell
Formation energy (no corrections): -640 meV per atom
Calculated volume: 15.98 Å³/atom

Lattice parameters (Å, degrees): 4.071 4.071 9.639 90.00 90.00 90.00
Sites, in units of the cell vectors:
Li1 0.000 0.000 0.000
Li2 0.500 0.500 0.500
Si1 0.000 0.000 0.377
Si2 0.000 0.000 0.623
Si3 0.500 0.500 0.123
Si4 0.500 0.500 0.877
Ir1 0.000 0.500 0.250
Ir2 0.000 0.500 0.750
Ir3 0.500 0.000 0.250
Ir4 0.500 0.000 0.750

VASP calculation (PBE) on Sn2BPdAu after structural relaxation.

## Properties
Calculated total energy: -0.31196 Ry/atom
Formation energy from the elements: 0.3862 eV per atom
Total moment: 0.00 μB per formula unit
DOS(E_F): 1.35 states/eV per cell
Calculated volume: 20.07 Å³/atom

Lattice parameters (Å, degrees): 4.886 4.886 4.203 90.00 90.00 90.00
Sites, in units of the cell vectors:
Sn1 0.000 0.500 0.000
Sn2 0.500 0.000 0.000
B1 0.000 0.000 0.000
Pd1 0.500 0.500 0.500
Au1 0.000 0.000 0.500

Question: Which value of DOS(E_F) does entry 1 give?
Answer: 5.77 states/eV per cell